# FeTe2PPd GGA-PBE optimized geometry
data_FeTe2PPd
_chemical_formula_sum 'Fe1 Te2 P1 Pd1'
_symmetry_space_group_name_H-M 'P 4/m m m'
_symmetry_Int_Tables_number 123
_symmetry_space_group_name_Hall '-P 4 2'
_cell_length_a 5.286
_cell_length_b 5.286
_cell_length_c 4.185
_cell_angle_alpha 90.00
_cell_angle_beta 90.00
_cell_angle_gamma 90.00
loop_
_atom_site_label
_atom_site_type_symbol
_atom_site_fract_x
_atom_site_fract_y
_atom_site_fract_z
Fe1 Fe 0.000 0.000 0.000
Te1 Te 0.000 0.500 0.500
P1 P 0.000 0.000 0.500
Pd1 Pd 0.500 0.500 0.000
# density of states at the Fermi level	0.864	states/eV/atom
# formation energy (no corrections)	646	meV per atom



# UFeP2Pd2 GGA-PBE optimized geometry
data_UFeP2Pd2
_chemical_formula_sum 'U2 Fe2 P4 Pd4'
_symmetry_space_group_name_H-M 'P m c 21'
_symmetry_Int_Tables_number 26
_symmetry_space_group_name_Hall 'P 2c -2'
_cell_length_a 4.027
_cell_length_b 6.843
_cell_length_c 6.771
_cell_angle_alpha 90.00
_cell_angle_beta 90.00
_cell_angle_gamma 90.00
loop_
_atom_site_label
_atom_site_type_symbol
_atom_site_fract_x
_atom_site_fract_y
_atom_site_fract_z
U1 U 0.000 0.066 0.000
Fe1 Fe 0.500 0.184 0.655
P1 P 0.000 0.316 0.682
P2 P 0.500 0.131 0.294
Pd1 Pd 0.000 0.387 0.340
Pd2 Pd 0.500 0.398 0.040
# formation enthalpy at 0 K	-548.6	meV/atom
# density of states at the Fermi level	1.077	states/eV/atom



# ZnFeP2Pd GGA-PBE optimized geometry
data_ZnFeP2Pd
_chemical_formula_sum 'Zn1 Fe1 P2 Pd1'
_symmetry_space_group_name_H-M 'P 4/m m m'
_symmetry_Int_Tables_number 123
_symmetry_space_group_name_Hall '-P 4 2'
_cell_length_a 4.499
_cell_length_b 4.499
_cell_length_c 4.857
_cell_angle_alpha 90.00
_cell_angle_beta 90.00
_cell_angle_gamma 90.00
loop_
_atom_site_label
_atom_site_type_symbol
_atom_site_fract_x
_atom_site_fract_y
_atom_site_fract_z
Zn1 Zn 0.000 0.000 0.000
Fe1 Fe 0.500 0.500 0.000
P1 P 0.000 0.500 0.500
Pd1 Pd 0.500 0.500 0.500
# formation enthalpy at 0 K	1140.3	meV/atom
# density of states at the Fermi level	1.645	states/eV/atom



# PmFe3P3 GGA-PBE optimized geometry
data_PmFe3P3
_chemical_formula_sum 'Pm2 Fe6 P6'
_symmetry_space_group_name_H-M 'P m -3 n'
_symmetry_Int_Tables_number 223
_symmetry_space_group_name_Hall '-P 4n 2 3'
_cell_length_a 6.104
_cell_length_b 6.104
_cell_length_c 6.104
_cell_angle_alpha 90.00
_cell_angle_beta 90.00
_cell_angle_gamma 90.00
loop_
_atom_site_label
_atom_site_type_symbol
_atom_site_fract_x
_atom_site_fract_y
_atom_site_fract_z
Pm1 Pm 0.000 0.000 0.000
Fe1 Fe 0.000 0.250 0.500
P1 P 0.000 0.500 0.250
# formation enthalpy at 0 K	-454.6	meV/atom
# density of states at the Fermi level	0.894	states/eV/atom



# PmFeP GGA-PBE optimized geometry
data_PmFeP
_chemical_formula_sum 'Pm4 Fe4 P4'
_symmetry_space_group_name_H-M 'C 1 2/m 1'
_symmetry_Int_Tables_number 12
_symmetry_space_group_name_Hall '-C 2y'
_cell_length_a 9.647
_cell_length_b 4.110
_cell_length_c 6.032
_cell_angle_alpha 90.00
_cell_angle_beta 99.59
_cell_angle_gamma 90.00
loop_
_atom_site_label
_atom_site_type_symbol
_atom_site_fract_x
_atom_site_fract_y
_atom_site_fract_z
Pm1 Pm 0.121 0.000 0.290
Fe1 Fe 0.117 0.500 0.934
P1 P 0.177 0.000 0.794
# formation enthalpy at 0 K	-722.0	meV/atom
# density of states at the Fermi level	0.875	states/eV/atom
# excess energy over the best structure of this formula in the dataset	0.29	eV per formula unit



# Pm2Fe12P7 GGA-PBE optimized geometry
data_Pm2Fe12P7
_chemical_formula_sum 'Pm2 Fe12 P7'
_symmetry_space_group_name_H-M 'P -6'
_symmetry_Int_Tables_number 174
_symmetry_space_group_name_Hall 'P -6'
_cell_length_a 9.0217
_cell_length_b 9.0217
_cell_length_c 3.6727
_cell_angle_alpha 90.00
_cell_angle_beta 90.00
_cell_angle_gamma 120.00
loop_
_atom_site_label
_atom_site_type_symbol
_atom_site_fract_x
_atom_site_fract_y
_atom_site_fract_z
Pm1 Pm 0.0000 0.0000 0.0000
Pm2 Pm 0.3333 0.6667 0.5000
Fe1 Fe 0.0496 0.2855 0.5000
Fe2 Fe 0.0916 0.7032 0.0000
Fe3 Fe 0.3937 0.1798 0.0000
Fe4 Fe 0.5489 0.4294 0.5000
P1 P 0.0748 0.4427 0.0000
P2 P 0.2691 0.2251 0.5000
P3 P 0.6667 0.3333 0.0000
# formation enthalpy at 0 K	-674.3	meV/atom
# density of states at the Fermi level	0.985	states/eV/atom



- What is the density of states at the Fermi level in the fifth record?
  0.875 states/eV/atom